TaNi2Cl | PBE-GGA | relaxed

a b c (Å): 3.289 2.970 6.988
angles (deg): 90.00 90.67 90.00
Sites, in units of the cell vectors:
Ta 0.000 0.000 0.000
Ni 0.009 0.000 0.350
Ni 0.504 0.500 0.179
Cl 0.991 0.500 0.710

Results
D(E_F)   4.1 states/eV/f.u.
Relative energy among the computed polymorphs   0.000 eV per formula unit
Calculated volume   68 Å³/f.u.
Space-group type   Pm (6)
Total magnetic moment   0.00 Bohr magnetons per cell

Ta2NiCl | PBE-GGA | relaxed

a b c (Å): 2.932 2.932 25.676
angles (deg): 90.00 90.00 120.00
Sites, in units of the cell vectors:
Ta 0.000 0.000 0.248
Ta 0.000 0.000 0.752
Ta 0.333 0.667 0.419
Ta 0.333 0.667 0.914
Ta 0.667 0.333 0.086
Ta 0.667 0.333 0.581
Ni 0.000 0.000 0.500
Ni 0.333 0.667 0.167
Ni 0.667 0.333 0.833
Cl 0.000 0.000 0.000
Cl 0.333 0.667 0.667
Cl 0.667 0.333 0.333

Results
D(E_F)   5.3 states/eV/f.u.
Relative energy among the computed polymorphs   0.765 eV per formula unit
Calculated volume   64 Å³/f.u.
Space-group type   R-3m (166)
Total magnetic moment   0.00 Bohr magnetons per cell

Ta2NiCl | PBE-GGA | relaxed

a b c (Å): 3.054 3.054 27.616
angles (deg): 90.00 90.00 120.00
Sites, in units of the cell vectors:
Ta 0.000 0.000 0.000
Ta 0.000 0.000 0.244
Ta 0.333 0.667 0.667
Ta 0.333 0.667 0.911
Ta 0.667 0.333 0.333
Ta 0.667 0.333 0.577
Ni 0.000 0.000 0.513
Ni 0.333 0.667 0.179
Ni 0.667 0.333 0.846
Cl 0.000 0.000 0.731
Cl 0.333 0.667 0.398
Cl 0.667 0.333 0.065

Results
D(E_F)   4.7 states/eV/f.u.
Relative energy among the computed polymorphs   0.000 eV per formula unit
Calculated volume   74 Å³/f.u.
Space-group type   R3m (160)
Total magnetic moment   0.00 Bohr magnetons per cell

What is the total magnetic moment in the third record?
0.00 Bohr magnetons per cell

Which value of relative energy among the computed polymorphs does entry 2 give?
0.765 eV per formula unit